No. 1
A plane-wave DFT calculation with PBE was carried out for a relaxed structure of Sm2Mg2Pb3.

Unit cell a=4.601 b=5.785 c=8.657 alpha=75.30 beta=105.41 gamma=90.00
Element x y z (fractional)
Pb1 0.724 0.342 0.449
Pb2 0.000 0.000 0.000
Pb3 0.276 0.658 0.551
Sm1 0.636 0.930 0.273
Sm2 0.364 0.070 0.727
Mg1 0.900 0.549 0.800
Mg2 0.100 0.451 0.200

Summary:
formation energy: -0.234 eV/atom
E above lowest polymorph: 10.73 kJ per mole of atoms


No. 2
A plane-wave DFT calculation with PBE was carried out for a relaxed structure of NbAlTe3.

Unit cell a=5.461 b=5.461 c=5.461 alpha=90.00 beta=90.00 gamma=90.00
Element x y z (fractional)
Te1 0.000 0.500 0.000
Te2 0.500 0.000 0.000
Te3 0.000 0.000 0.500
Nb1 0.000 0.000 0.000
Al1 0.500 0.500 0.500

Summary:
energy relative to the elements, uncorrected: 110.7 kJ/mol of formula units


No. 3
A plane-wave DFT calculation with PBE was carried out for a relaxed structure of KTlRe.

Unit cell a=6.796 b=6.796 c=6.796 alpha=155.42 beta=139.43 gamma=48.01
Each line ends with the local moment (μB).
Element x y z (fractional)
Re1 0.271 0.271 0.000  0.67
K1 0.999 0.999 0.000  0.01
Tl1 0.730 0.730 0.000  -0.01

Summary:
formation energy: 1.115 eV/atom
E above lowest polymorph: 4.21 kJ per mole of atoms


No. 4
A plane-wave DFT calculation with PBE was carried out for a relaxed structure of Fe2TcRh.

Unit cell a=4.250 b=2.610 c=4.863 alpha=83.40 beta=90.00 gamma=90.00
Each line ends with the local moment (μB).
Element x y z (fractional)
Fe1 0.000 0.003 0.994  2.64
Fe2 0.000 0.497 0.506  2.64
Tc1 0.500 0.750 0.750  -0.04
Rh1 0.500 0.250 0.250  0.41

Summary:
formation energy: 0.142 eV/atom
E above lowest polymorph: 12.06 kJ per mole of atoms


| no. | final energy (eV/atom) | DOS(E_F) (states/eV per cell) |
| --- | --- | --- |
| 1 | -3.63 | 2.9 |
| 2 | -4.42 | 3.9 |
| 3 | -4.19 | 2.7 |
| 4 | -8.52 | 4.3 |